ZnGaFeMo | GGA-PBE | optimized geometry

abc: 4.249 4.249 4.249
angles: 60.00 60.00 60.00
Atoms (fractional coordinates):
Ga 0.000 0.000 0.000
Mo 0.500 0.500 0.500
Zn 0.250 0.250 0.250
Fe 0.750 0.750 0.750

## Properties
calculated total energy = -5.716 eV per atom